# PmMnCrN3, relaxed, DFT PBE
data_PmMnCrN3
_cell_length_a 5.8062
_cell_length_b 3.0683
_cell_length_c 7.7423
_cell_angle_alpha 90.00
_cell_angle_beta 108.14
_cell_angle_gamma 90.00
_symmetry_space_group_name_H-M 'P 1 21/m 1'
_symmetry_Int_Tables_number 11
_symmetry_space_group_name_Hall '-P 2yb'
loop_
_atom_site_label
_atom_site_type_symbol
_atom_site_fract_x
_atom_site_fract_y
_atom_site_fract_z
Pm1 Pm 0.0015 0.2500 0.2340
Mn1 Mn 0.4197 0.7500 0.5938
Cr1 Cr 0.4779 0.7500 0.1199
N1 N 0.2402 0.2500 0.6504
N2 N 0.2722 0.2500 0.0083
N3 N 0.3405 0.7500 0.3392
# - ΔE_f (raw) (eV per atom) = -0.7844